The following is a DFT calculation (PBE) of a relaxed structure of Sr5Ac3Te8.

total energy = -4.499 eV per atom
SG = R-3m, No. 166

Cell lengths 9.442, 9.442, 9.490 Å; angles 60.17, 60.17, 60.00 degrees
Fractional positions:
Te 0.749 0.749 0.754
Te 0.250 0.748 0.752
Te 0.748 0.250 0.752
Te 0.750 0.252 0.248
Te 0.252 0.750 0.248
Te 0.750 0.750 0.248
Te 0.251 0.251 0.246
Te 0.250 0.250 0.752
Sr 0.000 0.000 0.000
Sr 0.500 0.500 0.000
Sr 0.500 0.000 0.000
Sr 0.500 0.500 0.500
Sr 0.000 0.500 0.000
Ac 0.000 0.000 0.500
Ac 0.000 0.500 0.500
Ac 0.500 0.000 0.500



The following is a DFT calculation (PBE) of a relaxed structure of SrAcTe2.

total energy = -4.576 eV per atom
SG = P6_3/mmc, No. 194

Cell lengths 4.649, 4.649, 16.135 Å; angles 90.00, 90.00, 120.00 degrees
Fractional positions:
Te 0.333 0.667 0.124
Te 0.333 0.667 0.376
Te 0.667 0.333 0.624
Te 0.667 0.333 0.876
Ac 0.000 0.000 0.500
Ac 0.000 0.000 0.000
Sr 0.667 0.333 0.250
Sr 0.333 0.667 0.750